# meta-GGA SCAN MgCd2Ag, PBEsol geometry
data_MgCd2Ag
_cell_length_a 6.7231
_cell_length_b 6.7231
_cell_length_c 6.7231
_cell_angle_alpha 90.00
_cell_angle_beta 90.00
_cell_angle_gamma 90.00
_symmetry_space_group_name_H-M 'F -4 3 m'
_symmetry_Int_Tables_number 216
_symmetry_space_group_name_Hall 'F -4 2 3'
loop_
_atom_site_label
_atom_site_type_symbol
_atom_site_fract_x
_atom_site_fract_y
_atom_site_fract_z
Mg1 Mg 0.0000 0.0000 0.0000
Cd1 Cd 0.0000 0.0000 0.5000
Cd2 Cd 0.2500 0.2500 0.2500
Ag1 Ag 0.2500 0.2500 0.7500
# - N(E_F) (states/eV per cell) = 3.420
# - relative energy among the computed polymorphs (meV/atom) = 11
# - total magnetization (μB per atom) = 0.00
# - energy of formation (eV/atom) = -0.12
# - E (eV/atom) = -24.41